Entry 1:
A geometry-optimized Y2BiS5 structure, computed with PBE-GGA.

Output
* E_tot: -5.945 eV per atom
* formation energy (no corrections): -1264 meV/atom
* M_tot: 0.00 Bohr magnetons per cell

abc: 5.3515 7.2598 13.2012
angles: 90.00 90.00 111.63
Atoms (fractional coordinates):
1 S 0.2622 0.5243 0.7500
2 S 0.0404 0.0808 0.3999
3 S 0.9596 0.9192 0.8999
4 S 0.6968 0.3937 0.9192
5 S 0.7378 0.4757 0.2500
6 S 0.0404 0.0808 0.1001
7 S 0.9596 0.9192 0.6001
8 S 0.3032 0.6063 0.4192
9 S 0.6968 0.3937 0.5808
10 S 0.3032 0.6063 0.0808
11 Bi 0.8290 0.6580 0.7500
12 Bi 0.1710 0.3420 0.2500
13 Y 0.1577 0.3154 0.9338
14 Y 0.8423 0.6846 0.4338
15 Y 0.1577 0.3154 0.5662
16 Y 0.8423 0.6846 0.0662

=====

Entry 2:
A geometry-optimized MgTl2As structure, computed with PBE-GGA.

Output
* E_tot: -2.739 eV per atom
* energy of formation from the pure elements: 0.005 eV per atom
* M_tot: 0.00 Bohr magnetons per cell

abc: 4.4411 4.4826 5.1297
angles: 90.00 90.00 90.00
Atoms (fractional coordinates):
1 Mg 0.0000 0.5000 0.5000
2 Tl 0.5000 0.5000 0.0000
3 Tl 0.0000 0.0000 0.0000
4 As 0.5000 0.0000 0.5000

=====

Entry 3:
A geometry-optimized MnIn2Ag structure, computed with PBE-GGA.

Output
* E_tot: -4.161 eV per atom
* energy of formation from the pure elements: 0.214 eV per atom
* M_tot: 3.70 Bohr magnetons per cell

abc: 4.9141 4.9141 5.5202
angles: 79.93 79.93 38.35
Each line ends with the local moment (μB).
Atoms (fractional coordinates):
1 Ag 0.2500 0.2500 0.2500  -0.01
2 Mn 0.7500 0.7500 0.7500  3.67
3 In 0.0011 0.0011 0.9937  -0.06
4 In 0.4989 0.4989 0.5063  -0.06

=====

Entry 4:
A geometry-optimized InP2IrS structure, computed with PBE-GGA.

Output
* E_tot: -4.892 eV per atom
* formation energy (no corrections): 417 meV/atom
* M_tot: 0.00 Bohr magnetons per cell

abc: 4.5145 4.5145 5.4623
angles: 90.00 90.00 90.00
Atoms (fractional coordinates):
1 In 0.5000 0.5000 0.5000
2 S 0.0000 0.0000 0.5000
3 P 0.0000 0.5000 0.0000
4 P 0.5000 0.0000 0.0000
5 Ir 0.0000 0.0000 0.0000

=====

Entry 5:
A geometry-optimized TbEuDyLu structure, computed with PBE-GGA.

Output
* E_tot: -5.843 eV per atom
* energy of formation from the pure elements: 0.164 eV per atom
* M_tot: 8.09 Bohr magnetons per cell

abc: 5.7089 5.7089 5.7089
angles: 60.00 60.00 60.00
Each line ends with the local moment (μB).
Atoms (fractional coordinates):
1 Tb 0.0000 0.0000 0.0000  0.21
2 Dy 0.5000 0.5000 0.5000  0.21
3 Lu 0.2500 0.2500 0.2500  0.18
4 Eu 0.7500 0.7500 0.7500  6.87

=====

Entry 6:
A geometry-optimized YSc3Re structure, computed with PBE-GGA.

Output
* E_tot: -5.857 eV per atom
* energy of formation from the pure elements: 1.724 eV per atom
* M_tot: 2.02 Bohr magnetons per cell

abc: 4.9140 4.9140 4.9140
angles: 90.00 90.00 90.00
Each line ends with the local moment (μB).
Atoms (fractional coordinates):
1 Re 0.5000 0.5000 0.5000  1.85
2 Sc 0.0000 0.0000 0.5000  0.00
3 Sc 0.0000 0.5000 0.0000  0.00
4 Sc 0.5000 0.0000 0.0000  -0.08
5 Y 0.0000 0.0000 0.0000  0.05